[1]
# Ti2N2O

A relaxed Ti2N2O crystal (PBE-GGA, Alexandria via LeMat-Bulk).

Unit cell a=5.1742 b=5.1742 c=15.7203 alpha=75.85 beta=75.85 gamma=33.59
Last column: nearest neighbours and their distance in Å.
Fractional positions:
O1 0.6494 0.6494 0.0468  3 Ti 1.93-2.09
O2 0.3506 0.3506 0.9532  3 Ti 1.93-2.09
O3 0.1416 0.1416 0.8818  3 Ti 1.89-2.03
O4 0.8584 0.8584 0.1182  3 Ti 1.89-2.03
Ti1 0.7663 0.7663 0.5764  5 N 1.97-2.14
Ti2 0.0054 0.0054 0.3316  6 N 2.04-2.09
Ti3 0.7587 0.7587 0.9139  5 O 1.93-2.09, 1 N 1.99
Ti4 0.7763 0.7763 0.2408  1 O 1.89, 2 N 2.02
Ti5 0.2337 0.2337 0.4236  5 N 1.97-2.14
Ti6 0.2413 0.2413 0.0861  5 O 1.93-2.09, 1 N 1.99
Ti7 0.9946 0.9946 0.6684  6 N 2.04-2.09
Ti8 0.2237 0.2237 0.7592  1 O 1.89, 2 N 2.02
N1 0.8445 0.8445 0.7850  4 Ti 1.99-2.04
N2 0.6231 0.6231 0.3704  5 Ti 2.08-2.21
N3 0.1555 0.1555 0.2150  4 Ti 1.99-2.04
N4 0.1471 0.1471 0.5511  4 Ti 1.97-2.06
N5 0.3852 0.3852 0.2934  5 Ti 2.09-2.21
N6 0.8529 0.8529 0.4489  4 Ti 1.97-2.06
N7 0.3769 0.3769 0.6296  5 Ti 2.08-2.21
N8 0.6148 0.6148 0.7066  5 Ti 2.09-2.21

## Properties
- energy relative to the elements, uncorrected (eV per atom) = -1.83
- space-group type = C2/m, No. 12
- calculated volume (Å³/cell) = 225.1

=====

[2]
# Mg2IrW2

A relaxed Mg2IrW2 crystal (PBE-GGA, Alexandria via LeMat-Bulk).

Unit cell a=3.5019 b=3.5019 c=8.2734 alpha=77.78 beta=77.78 gamma=90.00
Last column: nearest neighbours and their distance in Å.
Fractional positions:
Mg1 0.4109 0.4109 0.1783  1 Mg 2.81, 4 Ir 2.85, 4 W 3.08
Mg2 0.5891 0.5891 0.8217  1 Mg 2.81, 4 Ir 2.85, 4 W 3.08
W1 0.7500 0.2500 0.5000  4 W 2.48
W2 0.2500 0.7500 0.5000  4 W 2.48
Ir1 0.0000 0.0000 0.0000  8 Mg 2.85

## Properties
- space-group type = I4/mmm, No. 139
- polymorph energy (0 for the lowest one) (meV/atom) = 0.0
- calculated volume (Å³/cell) = 96.8
- formation energy (kJ/mol of atoms) = 78.2

=====

[3]
# In2Hg3

A relaxed In2Hg3 crystal (PBE-GGA, Alexandria via LeMat-Bulk).

Unit cell a=11.8143 b=11.8143 c=11.8143 alpha=17.83 beta=17.83 gamma=17.83
Last column: nearest neighbours and their distance in Å.
Fractional positions:
Hg1 0.1996 0.1996 0.1996  3 Hg 3.12, 3 In 3.16
Hg2 0.0000 0.0000 0.0000  6 In 3.14
Hg3 0.8004 0.8004 0.8004  3 Hg 3.12, 3 In 3.16
In1 0.6001 0.6001 0.6001  6 Hg 3.14-3.16
In2 0.3999 0.3999 0.3999  6 Hg 3.14-3.16

## Properties
- space-group type = R-3m, No. 166
- polymorph energy (0 for the lowest one) (meV/atom) = 0.0
- calculated volume (Å³/cell) = 135.0
- formation energy (kJ/mol of atoms) = 0.7

=====

[4]
# LiZrPS2

A relaxed LiZrPS2 crystal (PBE-GGA, Alexandria via LeMat-Bulk).

Unit cell a=5.0190 b=5.0190 c=5.0722 alpha=90.00 beta=90.00 gamma=90.00
Last column: nearest neighbours and their distance in Å.
Fractional positions:
S1 0.5000 0.0000 0.0000  2 Zr 2.51
S2 0.0000 0.5000 0.0000  2 Zr 2.51
Zr1 0.0000 0.0000 0.0000  4 S 2.51, 2 P 2.54
P1 0.0000 0.0000 0.5000  2 Zr 2.54
Li1 0.5000 0.5000 0.5000  4 P 3.55, 8 S 3.57

## Properties
- energy relative to the elements, uncorrected (eV per atom) = -0.50
- space-group type = P4/mmm, No. 123
- polymorph energy (0 for the lowest one) (meV/atom) = 0.0
- calculated volume (Å³/cell) = 127.8

=====

Which of these has the highest calculated volume? Ti2N2O

=====

Repeat the second record exactly.
# Mg2IrW2

A relaxed Mg2IrW2 crystal (PBE-GGA, Alexandria via LeMat-Bulk).

Unit cell a=3.5019 b=3.5019 c=8.2734 alpha=77.78 beta=77.78 gamma=90.00
Last column: nearest neighbours and their distance in Å.
Fractional positions:
Mg1 0.4109 0.4109 0.1783  1 Mg 2.81, 4 Ir 2.85, 4 W 3.08
Mg2 0.5891 0.5891 0.8217  1 Mg 2.81, 4 Ir 2.85, 4 W 3.08
W1 0.7500 0.2500 0.5000  4 W 2.48
W2 0.2500 0.7500 0.5000  4 W 2.48
Ir1 0.0000 0.0000 0.0000  8 Mg 2.85

## Properties
- space-group type = I4/mmm, No. 139
- polymorph energy (0 for the lowest one) (meV/atom) = 0.0
- calculated volume (Å³/cell) = 96.8
- formation energy (kJ/mol of atoms) = 78.2